(1)
Na5Pr4Ge4O16F: single point on PBEsol structure, meta-GGA SCAN.

Structure (extended XYZ):
```
30
Lattice="-6.043 6.043 2.844 6.043 -6.043 2.844 6.043 6.043 -2.844" Properties=species:S:1:pos:R:3 pbc="T T T"
Na 0.000 0.000 0.000
Na 7.099 1.263 -0.138
Na 1.263 4.988 0.138
Na 4.780 1.056 2.982
Na -1.056 4.780 2.705
Pr 4.655 3.844 -0.149
Pr 2.199 -1.389 2.992
Pr 3.844 7.432 0.149
Pr 1.389 2.199 2.695
Ge 3.001 1.245 0.057
Ge 4.798 -3.042 2.786
Ge 1.245 9.086 -0.057
Ge 3.042 4.798 2.901
O 6.608 3.963 -1.574
O 4.733 1.302 -0.240
O 9.180 2.474 -0.452
O 3.416 5.619 -1.272
O 2.627 0.424 1.572
O 2.474 2.906 0.452
O -0.565 2.080 1.270
O 4.741 -1.310 3.084
O 6.468 3.416 1.272
O 1.302 7.354 0.240
O -3.137 3.569 2.392
O 3.963 5.479 1.574
O 2.080 0.565 4.418
O 3.569 3.137 3.296
O 1.310 4.741 2.603
O -0.424 2.627 4.116
F 0.000 0.000 2.844
```

Total DFT energy (no corrections) ... -15.092 eV per atom
Calculated density ... 4.97 Mg/m³
Energy relative to the elements, uncorrected ... -2627 meV per atom
DOS(E_F) ... 0.0 states/eV per cell
SG ... I-4 (82)
Magnetization ... 0.18 μB per formula unit

***

(2)
Mn2SiP: single point on PBEsol structure, meta-GGA SCAN.

Structure (extended XYZ):
```
4
Lattice="2.983 0.000 0.000 0.000 2.983 0.000 0.000 0.000 4.970" Properties=species:S:1:pos:R:3 pbc="T T T"
Mn 0.000 0.000 0.000
Mn 1.492 1.492 1.641
Si 1.492 1.492 4.010
P 0.000 0.000 2.558
```

Total DFT energy (no corrections) ... -14.561 eV per atom
Calculated density ... 6.34 Mg/m³
Energy relative to the elements, uncorrected ... -330 meV per atom
DOS(E_F) ... 2.2 states/eV per cell
SG ... P4mm (99)
Magnetization ... 2.14 μB per formula unit

***

(3)
La2TlTe: single point on PBEsol structure, meta-GGA SCAN.

Structure (extended XYZ):
```
4
Lattice="2.185 1.262 8.033 -2.185 1.262 8.033 0.000 -2.523 8.033" Properties=species:S:1:pos:R:3 pbc="T T T"
La 0.000 0.000 5.973
La 0.000 0.000 18.125
Tl 0.000 0.000 0.000
Te 0.000 0.000 12.049
```

Total DFT energy (no corrections) ... -50.123 eV per atom
Calculated density ... 7.62 Mg/m³
Energy relative to the elements, uncorrected ... -1168 meV per atom
DOS(E_F) ... 2.2 states/eV per cell
SG ... R-3m (166)
Magnetization ... 0.00 μB per formula unit

***

(4)
Li2VO3F: single point on PBEsol structure, meta-GGA SCAN.

Structure (extended XYZ):
```
28
Lattice="3.879 -4.087 0.000 3.879 4.087 0.000 -3.716 0.000 8.379" Properties=species:S:1:pos:R:3 pbc="T T T"
Li -1.867 0.934 6.314
Li 2.022 3.212 4.190
Li -0.009 -0.934 2.125
Li 1.931 1.057 2.350
Li 0.073 -1.057 6.540
Li 5.753 0.951 2.245
Li 3.879 -3.212 0.000
Li 3.895 -0.951 6.434
V 3.971 1.262 0.097
V 1.828 1.181 6.042
V 2.113 -1.262 4.287
V 3.686 -1.181 1.852
O 3.846 2.926 0.057
O 1.995 2.876 6.137
O 0.116 1.011 6.462
O 1.894 0.970 4.368
O 3.851 0.926 1.833
O 1.973 -1.011 2.273
O 1.917 0.976 8.151
O 3.752 -0.970 0.178
O 1.993 -0.926 6.023
O 3.774 -0.976 3.962
O 1.988 -2.926 4.247
O 3.852 -2.876 1.947
F -1.724 1.010 8.239
F 0.134 -1.010 4.049
F 3.849 0.999 6.425
F 5.707 -0.999 2.235
```

Total DFT energy (no corrections) ... -9.000 eV per atom
Calculated density ... 3.30 Mg/m³
Energy relative to the elements, uncorrected ... -2643 meV per atom
DOS(E_F) ... 0.0 states/eV per cell
SG ... Cc (9)
Magnetization ... 0.00 μB per formula unit

***

(5)
CsScAs2H2O8: single point on PBEsol structure, meta-GGA SCAN.

Structure (extended XYZ):
```
56
Lattice="5.566 0.000 0.000 0.000 9.359 0.000 -1.817 0.000 14.803" Properties=species:S:1:pos:R:3 pbc="T T T"
Cs 0.574 0.059 5.839
Cs -0.335 4.620 13.240
Cs 4.084 4.739 1.563
Cs 3.176 9.300 8.964
Sc -0.185 0.294 12.531
Sc 0.724 4.386 5.130
Sc 3.026 4.973 9.673
Sc 3.934 9.065 2.272
As 1.079 1.419 0.868
As 0.171 3.260 8.270
As 0.316 6.965 10.172
As 1.224 7.074 2.770
As 2.525 2.286 12.033
As 3.433 2.394 4.631
As 3.579 6.099 6.533
As 2.671 7.940 13.935
H 0.295 6.600 7.852
H 1.203 7.439 0.451
H 0.637 1.798 10.027
H 1.545 2.882 2.625
H 2.204 6.477 12.178
H 3.112 7.562 4.776
H 2.546 1.920 14.352
H 3.455 2.759 6.951
O -0.848 5.801 10.555
O 0.060 8.238 3.153
O -0.312 5.768 6.361
O -1.220 8.271 13.762
O 0.822 5.582 3.451
O -0.086 8.457 10.853
O -0.380 1.706 14.047
O 0.528 2.973 6.646
O 1.296 6.643 1.063
O 0.388 7.396 8.465
O 0.469 1.696 9.007
O 1.377 2.983 1.605
O 2.075 0.258 1.576
O 1.167 4.422 8.978
O 0.955 1.829 11.522
O 1.864 2.851 4.120
O 1.886 6.508 10.683
O 2.794 7.530 3.282
O 2.583 4.938 5.825
O 1.674 9.101 13.227
O 2.372 6.376 13.198
O 3.280 7.663 5.796
O 3.361 1.963 6.338
O 2.453 2.716 13.740
O 3.221 6.386 8.157
O 4.129 7.653 0.756
O 3.836 0.902 3.950
O 2.927 3.777 11.352
O 4.970 1.088 1.041
O 4.062 3.591 8.442
O 3.690 1.121 11.650
O 4.598 3.559 4.248
```

Total DFT energy (no corrections) ... -12.581 eV per atom
Calculated density ... 3.94 Mg/m³
DOS(E_F) ... 0.0 states/eV per cell
SG ... P2_1/c (14)
Magnetization ... 0.00 μB per formula unit

***

(6)
BaZn2Cd: single point on PBEsol structure, meta-GGA SCAN.

Structure (extended XYZ):
```
4
Lattice="2.236 1.291 5.977 -2.236 1.291 5.977 0.000 -2.582 5.977" Properties=species:S:1:pos:R:3 pbc="T T T"
Ba 0.000 0.000 0.000
Zn 0.000 0.000 3.553
Zn 0.000 0.000 9.372
Cd 0.000 0.000 14.412
```

Formation energy from the elements ... -231 meV/atom
Total DFT energy (no corrections) ... -24.479 eV per atom
Calculated density ... 6.11 Mg/m³
DOS(E_F) ... 2.4 states/eV per cell
SG ... R3m (160)
Magnetization ... 0.00 μB per formula unit

***

(7)
Na3TmSi2O7: single point on PBEsol structure, meta-GGA SCAN.

Structure (extended XYZ):
```
78
Lattice="9.370 0.000 0.000 -4.685 8.115 0.000 0.000 0.000 13.682" Properties=species:S:1:pos:R:3 pbc="T T T"
Na 0.000 0.000 0.000
Na 0.000 0.000 6.841
Na -1.422 2.690 8.051
Na -1.402 2.691 12.456
Na -1.654 7.983 12.456
Na -1.644 8.001 8.051
Na 1.629 2.559 5.615
Na 1.619 2.577 1.210
Na 0.000 5.410 3.782
Na 0.000 5.410 10.272
Na 4.685 2.705 3.431
Na 4.685 2.705 10.623
Na 3.066 5.538 8.051
Na 3.056 5.556 12.456
Na 6.329 0.113 1.210
Na 6.339 0.131 5.615
Na 6.087 5.424 5.615
Na 6.107 5.424 1.210
Tm 0.000 0.000 3.416
Tm 0.000 0.000 10.257
Tm 0.000 5.410 7.125
Tm 0.000 5.410 13.434
Tm 4.685 2.705 0.284
Tm 4.685 2.705 6.593
Si -1.449 2.812 1.911
Si -1.451 2.816 4.909
Si -1.525 7.964 1.911
Si -1.521 7.963 4.909
Si 1.710 2.661 8.752
Si 1.713 2.664 11.750
Si 2.975 5.454 1.911
Si 2.972 5.451 4.909
Si 6.210 0.151 8.752
Si 6.206 0.152 11.750
Si 6.134 5.303 8.752
Si 6.136 5.299 11.750
O -3.557 6.897 11.755
O -3.532 6.909 8.773
O -1.022 3.433 3.408
O -1.670 4.961 8.480
O -1.670 4.971 12.040
O 0.468 1.602 8.773
O 0.491 1.586 11.755
O -0.470 3.566 0.841
O -0.458 3.618 5.938
O 1.618 0.368 4.914
O 1.621 0.396 1.932
O -1.361 6.739 0.841
O -1.322 6.703 5.938
O -1.201 7.283 3.408
O 1.215 4.183 12.040
O 1.224 4.189 8.480
O 2.462 2.601 10.249
O 2.853 2.191 7.682
O 2.904 2.206 12.779
O 0.455 7.075 12.040
O 0.446 7.080 8.480
O 4.239 1.034 1.639
O 4.230 1.040 5.199
O 1.781 5.909 5.938
O 1.832 5.924 0.841
O 2.223 5.514 3.408
O 3.461 3.926 1.639
O 3.470 3.931 5.199
O 5.886 0.832 10.249
O 6.007 1.412 12.779
O 6.047 1.376 7.682
O 3.064 7.719 8.773
O 3.067 7.747 11.755
O 5.144 4.496 12.779
O 5.156 4.549 7.682
O 4.194 6.529 4.914
O 4.217 6.513 1.932
O 6.355 3.144 5.199
O 6.355 3.154 1.639
O 5.707 4.682 10.249
O 8.217 1.206 1.932
O 8.242 1.218 4.914
```

Total DFT energy (no corrections) ... -12.801 eV per atom
Calculated density ... 3.89 Mg/m³
Energy relative to the elements, uncorrected ... -2945 meV per atom
DOS(E_F) ... 0.0 states/eV per cell
SG ... P6_3 (173)
Magnetization ... 0.00 μB per formula unit

***

(8)
MgPb3: single point on PBEsol structure, meta-GGA SCAN.

Structure (extended XYZ):
```
24
Lattice="9.101 0.000 0.000 -4.550 7.881 0.000 0.000 0.000 9.436" Properties=species:S:1:pos:R:3 pbc="T T T"
Mg -1.486 2.574 0.000
Mg -3.064 5.307 4.718
Mg 2.972 0.000 0.000
Mg 1.486 2.574 4.718
Mg 6.128 0.000 4.718
Mg 3.064 5.307 0.000
Pb 0.000 0.000 0.801
Pb 0.000 0.000 5.519
Pb -1.261 2.184 3.083
Pb -1.774 3.073 6.359
Pb -2.776 4.808 1.641
Pb -3.289 5.697 7.801
Pb 2.522 0.000 3.083
Pb 1.261 2.184 7.801
Pb 0.000 5.254 4.071
Pb 0.000 5.254 8.789
Pb 3.549 0.000 6.359
Pb 1.774 3.073 1.641
Pb 5.552 0.000 1.641
Pb 2.776 4.808 6.359
Pb 4.550 2.627 4.071
Pb 4.550 2.627 8.789
Pb 6.578 0.000 7.801
Pb 3.289 5.697 3.083
```

Formation energy from the elements ... -26 meV/atom
Total DFT energy (no corrections) ... -58.106 eV per atom
Calculated density ... 9.51 Mg/m³
DOS(E_F) ... 11.9 states/eV per cell
SG ... P6_3cm (185)
Magnetization ... 0.00 μB per formula unit

***

(9)
CaH4Se2O9: single point on PBEsol structure, meta-GGA SCAN.

Structure (extended XYZ):
```
64
Lattice="5.727 0.000 0.000 0.000 15.129 0.000 -0.346 0.000 8.065" Properties=species:S:1:pos:R:3 pbc="T T T"
Ca 1.196 1.556 0.586
Ca 1.023 6.008 4.619
Ca 4.358 9.121 3.446
Ca 4.185 13.573 7.479
H 0.620 2.988 3.952
H 0.447 4.577 7.984
H 0.581 3.080 5.536
H 0.754 4.484 1.503
H 1.165 7.748 7.715
H 1.338 14.946 3.683
H 2.488 3.045 4.783
H 2.661 4.520 0.751
H 2.720 10.610 7.314
H 2.893 12.085 3.282
H 4.044 0.183 4.382
H 4.217 7.382 0.350
H 4.628 10.645 6.562
H 4.801 12.049 2.529
H 4.935 10.553 0.081
H 4.762 12.141 4.113
Se 1.290 8.747 1.772
Se 1.117 13.948 5.804
Se 1.402 9.539 5.773
Se 1.575 13.156 1.740
Se 3.806 1.974 6.325
Se 3.979 5.591 2.292
Se 4.265 1.182 2.261
Se 4.092 6.383 6.293
O -0.052 9.674 1.473
O -0.225 13.020 5.505
O -0.084 10.051 5.259
O 0.089 12.643 1.226
O 0.957 7.981 3.211
O 0.784 14.713 7.243
O 1.080 3.414 4.731
O 1.253 4.151 0.699
O 1.199 0.121 4.670
O 1.372 7.444 0.637
O 1.324 7.921 6.174
O 1.497 14.774 2.142
O 1.671 10.362 7.248
O 1.844 12.332 3.215
O 2.686 9.597 1.815
O 2.513 13.097 5.847
O 2.653 9.897 4.789
O 2.826 12.797 0.756
O 2.556 2.332 7.309
O 2.729 5.232 3.276
O 2.869 2.033 2.218
O 2.696 5.532 6.250
O 3.538 2.797 4.850
O 3.711 4.768 0.817
O 3.884 0.356 5.923
O 4.057 7.209 1.891
O 4.009 7.685 7.428
O 4.182 15.009 3.395
O 4.128 10.979 7.366
O 4.301 11.716 3.334
O 4.597 0.417 0.822
O 4.424 7.148 4.854
O 5.293 2.487 6.839
O 5.466 5.078 2.806
O 5.606 2.109 2.560
O 5.433 5.455 6.592
```

Total DFT energy (no corrections) ... -8.717 eV per atom
Calculated density ... 3.29 Mg/m³
DOS(E_F) ... 0.0 states/eV per cell
SG ... P2_1/c (14)
Magnetization ... 0.00 μB per formula unit

***

(10)
Eu3Ag2: single point on PBEsol structure, meta-GGA SCAN.

Structure (extended XYZ):
```
10
Lattice="8.154 0.000 0.000 0.000 8.154 0.000 0.000 0.000 4.297" Properties=species:S:1:pos:R:3 pbc="T T T"
Eu 0.000 0.000 0.000
Eu 1.360 2.717 2.148
Eu 2.717 6.794 2.148
Eu 4.077 4.077 0.000
Eu 5.437 1.360 2.148
Eu 6.794 5.437 2.148
Ag 1.015 5.092 0.000
Ag 3.063 1.015 0.000
Ag 5.092 7.140 0.000
Ag 7.140 3.063 0.000
```

Formation energy from the elements ... -285 meV/atom
Total DFT energy (no corrections) ... -45.059 eV per atom
Calculated density ... 7.81 Mg/m³
DOS(E_F) ... 7.0 states/eV per cell
SG ... P4/mbm (127)
Magnetization ... 22.58 μB per formula unit

***

(11)
Zr2OsRu: single point on PBEsol structure, meta-GGA SCAN.

Structure (extended XYZ):
```
4
Lattice="0.000 3.237 3.237 3.237 0.000 3.237 3.237 3.237 0.000" Properties=species:S:1:pos:R:3 pbc="T T T"
Zr 1.618 1.618 1.618
Zr 4.855 4.855 4.855
Os 0.000 0.000 0.000
Ru 3.237 3.237 3.237
```

Formation energy from the elements ... -789 meV/atom
Total DFT energy (no corrections) ... -42.815 eV per atom
Calculated density ... 11.60 Mg/m³
DOS(E_F) ... 0.9 states/eV per cell
SG ... Fm-3m (225)
Magnetization ... 0.00 μB per formula unit

***

(12)
SrBe2Pt: single point on PBEsol structure, meta-GGA SCAN.

Structure (extended XYZ):
```
8
Lattice="-2.315 2.315 7.456 2.315 -2.315 7.456 2.315 2.315 -7.456" Properties=species:S:1:pos:R:3 pbc="T T T"
Sr 2.315 1.158 1.864
Sr 0.000 1.158 5.592
Be 0.000 0.000 0.000
Be 1.158 1.158 -3.728
Be 1.158 -1.158 3.728
Be 0.000 2.315 0.000
Pt 2.315 -1.158 5.592
Pt 0.000 3.473 1.864
```

Formation energy from the elements ... -426 meV/atom
Total DFT energy (no corrections) ... -25.720 eV per atom
Calculated density ... 6.25 Mg/m³
DOS(E_F) ... 4.3 states/eV per cell
SG ... I4_1/amd (141)
Magnetization ... 0.00 μB per formula unit